{
  "formula": "Ga4Pd5Pt4",
  "functional": "PBE",
  "state": "optimized geometry",
  "cell": [[3.942, 0.000, 1.002], [1.971, 6.977, 0.501], [0.252, 0.000, 7.263]],
  "species": ["Ga", "Ga", "Ga", "Ga", "Pd", "Pd", "Pd", "Pd", "Pd", "Pt", "Pt", "Pt", "Pt"],
  "frac_coords": [[0.763, 0.343, 0.131], [0.237, 0.657, 0.869], [0.894, 0.869, 0.343], [0.106, 0.131, 0.657], [0.685, 0.914, 0.717], [0.315, 0.086, 0.283], [0.000, 0.000, 0.000], [0.599, 0.717, 0.086], [0.401, 0.283, 0.914], [0.895, 0.501, 0.710], [0.605, 0.290, 0.501], [0.105, 0.499, 0.290], [0.395, 0.710, 0.499]],
  "total_magnetization_mub_per_fu": 0.000,
  "formation_energy_ev_per_atom": -0.55,
  "total_energy_ev_per_atom": -5.34
}